[1]
Compound: Sr2SiAgGe
Source: Alexandria via LeMat-Bulk
Functional: PBE
Structure: relaxed

Output
Uncorrected formation energy: 0.026 eV/atom
Spin magnetization: 0.0000 μB per atom
Raw total energy: -3.225 eV per atom

Cell: 6.009 6.009 4.664 Å, 90.00 90.00 90.00°
Fractional positions:
Sr (0.000, 0.500, 0.000)
Sr (0.500, 0.000, 0.000)
Si (0.000, 0.000, 0.500)
Ag (0.500, 0.500, 0.500)
Ge (0.000, 0.000, 0.000)



[2]
Compound: Sc2VCu2
Source: Alexandria via LeMat-Bulk
Functional: PBE
Structure: relaxed

Output
Spin magnetization: 0.7876 μB per atom
Calculated formation energy: 0.012 eV per atom
Raw total energy: -5.983 eV per atom

Cell: 6.989 6.989 3.626 Å, 90.00 90.00 90.00°
Fractional positions:
Sc (0.179, 0.321, 0.000)
Sc (0.321, 0.821, 0.000)
Sc (0.679, 0.179, 0.000)
Sc (0.821, 0.679, 0.000)
V (0.000, 0.000, 0.500)
V (0.500, 0.500, 0.500)
Cu (0.124, 0.624, 0.500)
Cu (0.376, 0.124, 0.500)
Cu (0.624, 0.876, 0.500)
Cu (0.876, 0.376, 0.500)



[3]
Compound: Al2Te2Se
Source: Alexandria via LeMat-Bulk
Functional: PBE
Structure: relaxed

Output
Uncorrected formation energy: -0.501 eV/atom
Spin magnetization: 0.0000 μB per atom
Raw total energy: -3.951 eV per atom

Cell: 11.509 11.509 6.939 Å, 91.75 91.75 19.94°
Fractional positions:
Al (0.131, 0.131, 0.097)
Al (0.330, 0.330, 0.487)
Al (0.670, 0.670, 0.513)
Al (0.869, 0.869, 0.903)
Te (0.119, 0.119, 0.724)
Te (0.427, 0.427, 0.751)
Te (0.573, 0.573, 0.249)
Te (0.881, 0.881, 0.276)
Se (0.219, 0.219, 0.315)
Se (0.781, 0.781, 0.685)



[4]
Compound: YTePt2
Source: Alexandria via LeMat-Bulk
Functional: PBE
Structure: relaxed

Output
Uncorrected formation energy: -0.777 eV/atom
Spin magnetization: 0.0000 μB per atom
ΔE to the lowest computed polymorph: 0.00 eV/f.u.
Raw total energy: -6.199 eV per atom

Cell: 3.874 4.551 5.196 Å, 90.00 98.51 90.00°
Fractional positions:
Y (0.000, 0.000, 0.000)
Te (0.379, 0.500, 0.649)
Pt (0.577, 0.000, 0.447)
Pt (0.577, 0.500, 0.149)



[5]
Compound: Li2CuAsS4
Source: Alexandria via LeMat-Bulk
Functional: PBE
Structure: relaxed

Output
Uncorrected formation energy: -0.593 eV/atom
Spin magnetization: 0.0000 μB per atom
Raw total energy: -4.229 eV per atom

Cell: 6.738 6.738 6.738 Å, 133.54 133.54 67.81°
Fractional positions:
Li (0.250, 0.750, 0.500)
Li (0.750, 0.250, 0.500)
Cu (0.000, 0.000, 0.000)
As (0.500, 0.500, 0.000)
S (0.142, 0.142, 0.516)
S (0.374, 0.858, 0.000)
S (0.626, 0.626, 0.484)
S (0.858, 0.374, 0.000)



[6]
Compound: LaNiHg
Source: Alexandria via LeMat-Bulk
Functional: PBE
Structure: relaxed

Output
Spin magnetization: 0.0000 μB per atom
Calculated formation energy: -0.440 eV per atom
Raw total energy: -4.110 eV per atom

Cell: 8.799 8.799 4.092 Å, 90.00 90.00 153.95°
Fractional positions:
La (0.097, 0.903, 0.750)
La (0.903, 0.097, 0.250)
Ni (0.460, 0.540, 0.750)
Ni (0.540, 0.460, 0.250)
Hg (0.296, 0.704, 0.750)
Hg (0.704, 0.296, 0.250)



[7]
Compound: Rb2Ta3RuO12
Source: Alexandria via LeMat-Bulk
Functional: PBE
Structure: relaxed

Output
Uncorrected formation energy: -2.183 eV/atom
Spin magnetization: 0.0585 μB per atom
Raw total energy: -8.087 eV per atom

Cell: 7.395 7.395 7.395 Å, 60.56 60.56 60.56°
Fractional positions:
Rb (0.117, 0.117, 0.117)
Rb (0.883, 0.883, 0.883)
Ta (0.000, 0.500, 0.500)
Ta (0.500, 0.000, 0.500)
Ta (0.500, 0.500, 0.000)
Ru (0.500, 0.500, 0.500)
O (0.186, 0.186, 0.563)
O (0.186, 0.563, 0.186)
O (0.199, 0.559, 0.559)
O (0.437, 0.814, 0.814)
O (0.441, 0.441, 0.801)
O (0.441, 0.801, 0.441)
O (0.559, 0.199, 0.559)
O (0.559, 0.559, 0.199)
O (0.563, 0.186, 0.186)
O (0.801, 0.441, 0.441)
O (0.814, 0.437, 0.814)
O (0.814, 0.814, 0.437)



[8]
Compound: La2RuPbSe
Source: Alexandria via LeMat-Bulk
Functional: PBE
Structure: relaxed

Output
Uncorrected formation energy: 0.901 eV/atom
Spin magnetization: 0.3572 μB per atom
Raw total energy: -4.364 eV per atom

Cell: 6.079 6.079 5.286 Å, 90.00 90.00 90.00°
Fractional positions:
La (0.000, 0.500, 0.000)
La (0.500, 0.000, 0.000)
Ru (0.000, 0.000, 0.500)
Pb (0.500, 0.500, 0.000)
Se (0.500, 0.500, 0.500)



[9]
Compound: K2LaAu
Source: Alexandria via LeMat-Bulk
Functional: PBE
Structure: relaxed

Output
Spin magnetization: 0.0005 μB per atom
ΔE to the lowest computed polymorph: 0.91 eV/f.u.
Calculated formation energy: 0.010 eV per atom
Raw total energy: -2.590 eV per atom

Cell: 7.925 7.925 7.925 Å, 151.28 131.53 57.32°
Fractional positions:
K (0.000, 0.000, 0.000)
K (0.676, 0.176, 0.500)
La (0.322, 0.822, 0.500)
Au (0.476, 0.476, 0.000)



[10]
Compound: RbGePO2
Source: Alexandria via LeMat-Bulk
Functional: PBE
Structure: relaxed

Output
Uncorrected formation energy: 1.217 eV/atom
Spin magnetization: 0.3608 μB per atom
ΔE to the lowest computed polymorph: 7.22 eV/f.u.
Raw total energy: -2.965 eV per atom

Cell: 4.262 4.262 6.480 Å, 90.00 90.00 90.00°
Fractional positions:
Rb (0.000, 0.000, 0.000)
Ge (0.500, 0.500, 0.500)
P (0.000, 0.000, 0.500)
O (0.000, 0.500, 0.000)
O (0.500, 0.000, 0.000)



[11]
Compound: Zr3W
Source: Alexandria via LeMat-Bulk
Functional: PBE
Structure: relaxed

Output
Spin magnetization: 0.0000 μB per atom
ΔE to the lowest computed polymorph: 0.21 eV/f.u.
Calculated formation energy: 0.149 eV per atom
Raw total energy: -9.500 eV per atom

Cell: 6.075 6.075 4.702 Å, 90.00 90.00 105.59°
Fractional positions:
Zr (0.116, 0.884, 0.750)
Zr (0.154, 0.401, 0.750)
Zr (0.401, 0.154, 0.250)
Zr (0.599, 0.846, 0.750)
Zr (0.846, 0.599, 0.250)
Zr (0.884, 0.116, 0.250)
W (0.365, 0.635, 0.250)
W (0.635, 0.365, 0.750)



[12]
Compound: CdCu2Br
Source: Alexandria via LeMat-Bulk
Functional: PBE
Structure: relaxed

Output
Uncorrected formation energy: 0.249 eV/atom
Spin magnetization: 0.0000 μB per atom
ΔE to the lowest computed polymorph: 0.79 eV/f.u.
Raw total energy: -2.446 eV per atom

Cell: 3.406 3.406 8.146 Å, 90.00 90.00 122.65°
Fractional positions:
Cd (0.000, 0.000, 0.000)
Cu (0.500, 0.500, 0.258)
Cu (0.500, 0.500, 0.742)
Br (0.000, 0.000, 0.500)